# RbTaMn2

RbTaMn2 after structural relaxation (GGA-PBE, the Alexandria database).

a = 5.508 Å, b = 5.508 Å, c = 16.344 Å
α = 90.00°, β = 90.00°, γ = 90.00°
Space group I4_1/amd (No. 141, origin choice 2)
Asymmetric unit:
Rb: 0.000 0.250 0.375
Ta: 0.000 0.250 0.875
Mn: 0.000 0.000 0.000

Computed properties:
The calculation puts the formation energy at 1.418 eV per atom. For the size of the total moment, the calculation gives 1.289 μB/atom. The calculation puts the calculated total energy at -101.95 eV per cell.

# RbTaMnW2

RbTaMnW2 after structural relaxation (GGA-PBE, the Alexandria database).

a = 4.617 Å, b = 4.617 Å, c = 4.776 Å
α = 90.00°, β = 90.00°, γ = 90.00°
Space group P4/mmm (No. 123)
Asymmetric unit:
Rb: 0.000 0.000 0.000
Ta: 0.500 0.500 0.000
Mn: 0.000 0.000 0.500
W: 0.000 0.500 0.500

Computed properties:
The calculation puts the formation energy at 2.306 eV per atom. For the size of the total moment, the calculation gives 0.000 μB/atom. The calculation puts the calculated total energy at -36.37 eV per cell.

| no. | density (g/cm³) |
| --- | --- |
| 1 | 5.0 |
| 2 | 11.2 |